Record 1
Below is a relaxed structure of Nd6Dy3Y2In, with properties calculated at the PBE level.

abc: 6.204 10.776 11.853
angles: 90.00 100.20 90.00
Space group C2/m (No. 12)
Asymmetric unit:
Nd: 0.244 0.000 0.250 [4 per cell]
Nd: 0.246 0.163 0.748 [8 per cell]
Dy: 0.000 0.168 0.000 [4 per cell]
Dy: 0.000 0.500 0.000 [2 per cell]
Y: 0.000 0.334 0.500 [4 per cell]
In: 0.000 0.000 0.500 [2 per cell]

Record 2
Below is a relaxed structure of Nd3Dy2Y6In, with properties calculated at the PBE level.

abc: 6.176 10.700 11.722
angles: 90.00 100.15 90.00
Space group C2/m (No. 12)
Asymmetric unit:
Nd: 0.000 0.000 0.000 [2 per cell]
Nd: 0.000 0.333 0.000 [4 per cell]
Dy: 0.000 0.166 0.500 [4 per cell]
Y: 0.244 0.337 0.743 [8 per cell]
Y: 0.247 0.500 0.257 [4 per cell]
In: 0.000 0.500 0.500 [2 per cell]

Record 3
Below is a relaxed structure of Nd6Dy2Y3In, with properties calculated at the PBE level.

abc: 6.219 10.802 11.840
angles: 90.00 100.22 90.00
Space group C2/m (No. 12)
Asymmetric unit:
Nd: 0.245 0.000 0.252 [4 per cell]
Nd: 0.245 0.164 0.747 [8 per cell]
Dy: 0.000 0.334 0.500 [4 per cell]
Y: 0.000 0.167 0.000 [4 per cell]
Y: 0.000 0.500 0.000 [2 per cell]
In: 0.000 0.000 0.500 [2 per cell]

Record 4
Below is a relaxed structure of NdDyZnIn, with properties calculated at the PBE level.

abc: 7.485 7.485 7.485
angles: 90.00 90.00 90.00
Space group F-43m (No. 216)
Asymmetric unit:
Nd: 0.000 0.000 0.000 [4 per cell]
Dy: 0.000 0.000 0.500 [4 per cell]
Zn: 0.250 0.250 0.250 [4 per cell]
In: 0.250 0.250 0.750 [4 per cell]

ΔE to the lowest computed polymorph = 0.024 eV per atom

Record 5
Below is a relaxed structure of Nd2DyZn2In2, with properties calculated at the PBE level.

abc: 4.7269 4.7269 28.1496
angles: 90.00 90.00 120.00
Space group R-3m (No. 166, hexagonal axes)
Asymmetric unit:
Nd: 0.0000 0.0000 0.1265 [6 per cell]
Dy: 0.0000 0.0000 0.0000 [3 per cell]
Zn: 0.0000 0.0000 0.3916 [6 per cell]
In: 0.0000 0.0000 0.2678 [6 per cell]

Record 6
Below is a relaxed structure of NdDyZnIn, with properties calculated at the PBE level.

abc: 3.694 3.694 7.578
angles: 90.00 90.00 90.00
Space group P4mm (No. 99)
Asymmetric unit:
Nd: 0.000 0.000 0.000 [1 per cell]
Dy: 0.000 0.000 0.461 [1 per cell]
Zn: 0.500 0.500 0.249 [1 per cell]
In: 0.500 0.500 0.719 [1 per cell]

ΔE to the lowest computed polymorph = 0.000 eV per atom

Record 7
Below is a relaxed structure of Dy6InNi, with properties calculated at the PBE level.

abc: 6.950 6.961 7.186
angles: 90.11 118.76 119.92
Space group P-1 (No. 2)
Asymmetric unit:
Dy: 0.050 0.080 0.259 [2 per cell]
Dy: 0.289 0.709 0.259 [2 per cell]
Dy: 0.319 0.529 0.741 [2 per cell]
In: 0.500 0.000 0.000 [1 per cell]
Ni: 0.500 0.500 0.500 [1 per cell]

Record 8
Below is a relaxed structure of Dy2In3Ni, with properties calculated at the PBE level.

abc: 3.630 4.762 8.199
angles: 90.00 90.00 90.00
Space group Pmm2 (No. 25)
Asymmetric unit:
Dy: 0.000 0.000 0.000 [1 per cell]
Dy: 0.000 0.500 0.444 [1 per cell]
In: 0.500 0.000 0.602 [1 per cell]
In: 0.500 0.500 0.143 [1 per cell]
In: 0.500 0.500 0.795 [1 per cell]
Ni: 0.500 0.000 0.281 [1 per cell]

Record 9
Below is a relaxed structure of Dy3InNi, with properties calculated at the PBE level.

abc: 5.275 6.934 7.224
angles: 91.48 90.09 90.04
Space group P1 (No. 1)
Asymmetric unit:
Dy: 0.000 0.000 0.000 [1 per cell]
Dy: 0.000 0.125 0.509 [1 per cell]
Dy: 0.001 0.478 0.124 [1 per cell]
Dy: 0.500 0.308 0.815 [1 per cell]
Dy: 0.501 0.776 0.276 [1 per cell]
Dy: 0.999 0.611 0.629 [1 per cell]
In: 0.499 0.820 0.771 [1 per cell]
In: 0.500 0.239 0.243 [1 per cell]
Ni: 0.001 0.804 0.311 [1 per cell]
Ni: 0.498 0.487 0.514 [1 per cell]

ΔE to the lowest computed polymorph = 0.047 eV per atom

Record 10
Below is a relaxed structure of DyIn3Ni3, with properties calculated at the PBE level.

abc: 6.901 6.901 6.901
angles: 90.00 90.00 90.00
Space group Pm-3n (No. 223)
Asymmetric unit:
Dy: 0.000 0.000 0.000 [2 per cell]
In: 0.000 0.250 0.500 [6 per cell]
Ni: 0.000 0.500 0.250 [6 per cell]

Record 11
Below is a relaxed structure of DyIn3Ni2, with properties calculated at the PBE level.

abc: 9.429 8.860 5.618
angles: 90.00 90.00 90.00
Space group Cmcm (No. 63)
Asymmetric unit:
Dy: 0.000 0.101 0.250 [4 per cell]
In: 0.000 0.456 0.250 [4 per cell]
In: 0.168 0.237 0.750 [8 per cell]
Ni: 0.241 0.500 0.000 [8 per cell]

ΔE to the lowest computed polymorph = 0.000 eV per atom

Record 12
Below is a relaxed structure of Dy5In4Ni2, with properties calculated at the PBE level.

abc: 7.975 17.954 3.620
angles: 90.00 90.00 90.00
Space group Pbam (No. 55)
Asymmetric unit:
Dy: 0.000 0.000 0.000 [2 per cell]
Dy: 0.115 0.412 0.000 [4 per cell]
Dy: 0.247 0.221 0.000 [4 per cell]
In: 0.072 0.848 0.500 [4 per cell]
In: 0.207 0.569 0.500 [4 per cell]
Ni: 0.026 0.304 0.500 [4 per cell]

Number 1: uncorrected energy -4.877 eV/atom, ρ 7.0 Mg/m³, energy relative to the elements -0.037 eV per atom. Number 2: uncorrected energy -5.461 eV/atom, ρ 6.1 Mg/m³, energy relative to the elements -0.042 eV per atom. Number 3: uncorrected energy -5.031 eV/atom, ρ 6.7 Mg/m³, energy relative to the elements -0.036 eV per atom. Number 4: uncorrected energy -3.732 eV/atom, ρ 7.7 Mg/m³, energy relative to the elements -0.387 eV per atom. Number 5: uncorrected energy -3.462 eV/atom, ρ 7.4 Mg/m³, energy relative to the elements -0.296 eV per atom. Number 6: uncorrected energy -3.757 eV/atom, ρ 7.8 Mg/m³, energy relative to the elements -0.411 eV per atom. Number 7: uncorrected energy -4.491 eV/atom, ρ 7.6 Mg/m³, energy relative to the elements 0.025 eV per atom. Number 8: uncorrected energy -4.268 eV/atom, ρ 8.5 Mg/m³, energy relative to the elements -0.402 eV per atom. Number 9: uncorrected energy -4.734 eV/atom, ρ 8.3 Mg/m³, energy relative to the elements -0.269 eV per atom. Number 10: uncorrected energy -3.975 eV/atom, ρ 6.9 Mg/m³, energy relative to the elements 0.334 eV per atom. Number 11: uncorrected energy -4.352 eV/atom, ρ 8.8 Mg/m³, energy relative to the elements -0.289 eV per atom. Number 12: uncorrected energy -4.664 eV/atom, ρ 8.9 Mg/m³, energy relative to the elements -0.525 eV per atom.